Below is a relaxed Nd6Pt2I3N crystal, with properties calculated at the PBE level.

Geometry as CIF:
```
data_Nd6Pt2I3N
_cell_length_a 7.0833
_cell_length_b 12.2401
_cell_length_c 8.4033
_cell_angle_alpha 90.00
_cell_angle_beta 106.16
_cell_angle_gamma 90.00
_space_group_name_H-M_alt 'C 1 2/m 1'
_space_group_IT_number 12
_space_group_name_Hall '-C 2y'
loop_
_atom_site_label
_atom_site_fract_x
_atom_site_fract_y
_atom_site_fract_z
Nd1 0.2109 0.1496 0.1835
Nd2 0.2379 0.0000 0.8137
Pt1 0.0000 0.3337 0.0000
I1 0.0000 0.1700 0.5000
I2 0.0000 0.5000 0.5000
N1 0.0000 0.0000 0.0000
```

Calculated values
Uncorrected energy: -5.544 eV per atom
Formation energy (no corrections): -1.072 eV/atom
Crystal system: monoclinic